1.
First-principles (PBE-GGA) data for Pr2GaI2 after structural relaxation, as listed in the Alexandria database.

Values from the calculation:
The value obtained for the raw formation energy is -1.029 eV/atom. For the total energy, the calculation gives -4.17 eV per atom. As for the crystal system: trigonal. As for the space group: No. 166.

a = 12.3857 Å, b = 12.3857 Å, c = 12.3857 Å
α = 19.77°, β = 19.77°, γ = 19.77°
Closest atoms and distances in Å follow each position.
Fractional coordinates of all 5 atoms:
Pr 0.1148 0.1148 0.1148  3 Ga 3.10, 3 I 3.23
Pr 0.8852 0.8852 0.8852  3 Ga 3.10, 3 I 3.23
Ga 0.5000 0.5000 0.5000  6 Pr 3.10
I 0.2762 0.2762 0.2762  3 Pr 3.23
I 0.7238 0.7238 0.7238  3 Pr 3.23

2.
First-principles (PBE-GGA) data for Sm2Dy2Tm7 after structural relaxation, as listed in the Alexandria database.

Values from the calculation:
The offset from the most stable computed form is 0.003 eV per atom. For the total energy, the calculation gives -4.38 eV per atom. As for the crystal system: monoclinic. As for the energy of formation: 15.5 kJ per mole of atoms. As for the space group: No. 12.

a = 7.9764 Å, b = 7.9764 Å, c = 5.9927 Å
α = 106.16°, β = 106.16°, γ = 92.12°
Closest atoms and distances in Å follow each position.
Fractional coordinates of all 11 atoms:
Sm 0.2117 0.7883 0.0000  6 Tm 3.24-3.44
Sm 0.7883 0.2117 0.0000  6 Tm 3.24-3.44
Dy 0.4050 0.4050 0.6915  7 Tm 3.38-3.72, 2 Dy 3.44-3.68, 2 Sm 3.73
Dy 0.5950 0.5950 0.3085  7 Tm 3.38-3.72, 2 Dy 3.44-3.68, 2 Sm 3.73
Tm 0.0000 0.0000 0.5000  6 Tm 3.25-3.40
Tm 0.0645 0.5901 0.3246  6 Tm 3.21-3.58, 2 Sm 3.24-3.41
Tm 0.2340 0.2340 0.0798  5 Tm 3.33-3.53, 3 Dy 3.38-3.67, 2 Sm 3.44
Tm 0.4099 0.9355 0.6754  6 Tm 3.21-3.58, 2 Sm 3.24-3.41
Tm 0.5901 0.0645 0.3246  6 Tm 3.21-3.58, 2 Sm 3.24-3.41
Tm 0.7660 0.7660 0.9202  5 Tm 3.33-3.53, 3 Dy 3.38-3.67, 2 Sm 3.44
Tm 0.9355 0.4099 0.6754  6 Tm 3.21-3.58, 2 Sm 3.24-3.41

3.
First-principles (PBE-GGA) data for KMg2PbCl8 after structural relaxation, as listed in the Alexandria database.

Values from the calculation:
The value obtained for the raw formation energy is -1.438 eV/atom. For the total energy, the calculation gives -3.34 eV per atom. As for the crystal system: triclinic. As for the space group: No. 2.

a = 6.2455 Å, b = 6.4896 Å, c = 8.0620 Å
α = 89.93°, β = 89.92°, γ = 88.49°
Closest atoms and distances in Å follow each position.
Fractional coordinates of all 12 atoms:
K 0.0000 0.0000 0.0000  6 Cl 2.96-3.01
Mg 0.4995 0.4997 0.2410  6 Cl 2.50-2.71
Mg 0.5005 0.5003 0.7590  6 Cl 2.50-2.71
Pb 0.0000 0.0000 0.5000  6 Cl 2.77-2.90
Cl 0.2721 0.8213 0.2671  1 Mg 2.50, 1 Pb 2.77
Cl 0.2716 0.8208 0.7327  1 Mg 2.50, 1 Pb 2.77
Cl 0.2745 0.3530 0.4999  2 Mg 2.70-2.71, 1 Pb 2.90
Cl 0.2904 0.3630 0.0000  2 Mg 2.52
Cl 0.7096 0.6370 0.0000  2 Mg 2.52
Cl 0.7255 0.6470 0.5001  2 Mg 2.70-2.71, 1 Pb 2.90
Cl 0.7284 0.1792 0.2673  1 Mg 2.50, 1 Pb 2.77
Cl 0.7279 0.1787 0.7329  1 Mg 2.50, 1 Pb 2.77

4.
First-principles (PBE-GGA) data for LaEuLuHg after structural relaxation, as listed in the Alexandria database.

Values from the calculation:
For the total energy, the calculation gives -5.05 eV per atom. As for the crystal system: cubic. As for the energy of formation: -4.3 kJ per mole of atoms. As for the space group: No. 216.

a = 5.5272 Å, b = 5.5272 Å, c = 5.5272 Å
α = 60.00°, β = 60.00°, γ = 60.00°
Closest atoms and distances in Å follow each position.
Fractional coordinates of all 4 atoms:
La 0.0000 0.0000 0.0000  4 Eu 3.38, 4 Hg 3.38
Eu 0.7500 0.7500 0.7500  4 Lu 3.38, 4 La 3.38
Lu 0.5000 0.5000 0.5000  4 Hg 3.38, 4 Eu 3.38
Hg 0.2500 0.2500 0.2500  4 Lu 3.38, 4 La 3.38

5.
First-principles (PBE-GGA) data for InCoSn2Cl after structural relaxation, as listed in the Alexandria database.

Values from the calculation:
The value obtained for the raw formation energy is -0.266 eV/atom. For the total energy, the calculation gives -4.21 eV per atom. As for the crystal system: tetragonal. As for the space group: No. 123.

a = 4.8977 Å, b = 4.8977 Å, c = 5.0797 Å
α = 90.00°, β = 90.00°, γ = 90.00°
Closest atoms and distances in Å follow each position.
Fractional coordinates of all 5 atoms:
In 0.0000 0.0000 0.0000  2 Co 2.54
Co 0.0000 0.0000 0.5000  4 Sn 2.45, 2 In 2.54
Sn 0.0000 0.5000 0.5000  2 Co 2.45
Sn 0.5000 0.0000 0.5000  2 Co 2.45
Cl 0.5000 0.5000 0.0000  4 In 3.46, 8 Sn 3.53

6.
First-principles (PBE-GGA) data for ReHgAs2 after structural relaxation, as listed in the Alexandria database.

Values from the calculation:
For the total energy, the calculation gives -5.19 eV per atom. As for the crystal system: tetragonal. As for the energy of formation: 31.2 kJ per mole of atoms. As for the space group: No. 99.

a = 3.1394 Å, b = 3.1394 Å, c = 8.9939 Å
α = 90.00°, β = 90.00°, γ = 90.00°
Closest atoms and distances in Å follow each position.
Fractional coordinates of all 4 atoms:
Re 0.0000 0.0000 0.0000  5 As 2.33-2.53
Hg 0.5000 0.5000 0.5315  5 As 3.00-3.31, 4 Hg 3.14
As 0.0000 0.0000 0.2587  1 Re 2.33
As 0.5000 0.5000 0.8645  4 Re 2.53

7.
First-principles (PBE-GGA) data for HoPd2Pb after structural relaxation, as listed in the Alexandria database.

Values from the calculation:
For the total energy, the calculation gives -5.37 eV per atom. As for the crystal system: cubic. As for the energy of formation: -67.6 kJ per mole of atoms. As for the space group: No. 225.

a = 4.8615 Å, b = 4.8615 Å, c = 4.8615 Å
α = 60.00°, β = 60.00°, γ = 60.00°
Closest atoms and distances in Å follow each position.
Fractional coordinates of all 4 atoms:
Ho 0.0000 0.0000 0.0000  8 Pd 2.98
Pd 0.2500 0.2500 0.2500  4 Pb 2.98, 4 Ho 2.98
Pd 0.7500 0.7500 0.7500  4 Pb 2.98, 4 Ho 2.98
Pb 0.5000 0.5000 0.5000  8 Pd 2.98

8.
First-principles (PBE-GGA) data for Cs2Rb4CdBi2 after structural relaxation, as listed in the Alexandria database.

Values from the calculation:
For the total energy, the calculation gives -1.81 eV per atom. As for the crystal system: monoclinic. As for the energy of formation: -22.1 kJ per mole of atoms. As for the space group: No. 12.

a = 9.7603 Å, b = 9.7603 Å, c = 6.5375 Å
α = 106.47°, β = 106.47°, γ = 57.94°
Closest atoms and distances in Å follow each position.
Fractional coordinates of all 9 atoms:
Cs 0.1445 0.1445 0.1748  6 Rb 4.16-4.22, 2 Bi 4.25-4.44
Cs 0.8555 0.8555 0.8252  6 Rb 4.16-4.22, 2 Bi 4.25-4.44
Rb 0.1443 0.5890 0.3388  3 Bi 3.93-4.02, 3 Cs 4.16-4.22, 2 Rb 4.20-4.36, 1 Cd 4.22
Rb 0.4110 0.8557 0.6612  3 Bi 3.93-4.02, 3 Cs 4.16-4.22, 2 Rb 4.20-4.36, 1 Cd 4.22
Rb 0.5890 0.1443 0.3388  3 Bi 3.93-4.02, 3 Cs 4.16-4.22, 2 Rb 4.20-4.36, 1 Cd 4.22
Rb 0.8557 0.4110 0.6612  3 Bi 3.93-4.02, 3 Cs 4.16-4.22, 2 Rb 4.20-4.36, 1 Cd 4.22
Cd 0.5000 0.5000 0.0000  2 Bi 2.90
Bi 0.3216 0.3216 0.8049  1 Cd 2.90
Bi 0.6784 0.6784 0.1951  1 Cd 2.90

9.
First-principles (PBE-GGA) data for MgZr2InPt after structural relaxation, as listed in the Alexandria database.

Values from the calculation:
For the total energy, the calculation gives -4.89 eV per atom. As for the crystal system: tetragonal. As for the energy of formation: 57.8 kJ per mole of atoms. As for the space group: No. 123.

a = 5.0404 Å, b = 5.0404 Å, c = 4.5947 Å
α = 90.00°, β = 90.00°, γ = 90.00°
Closest atoms and distances in Å follow each position.
Fractional coordinates of all 5 atoms:
Mg 0.0000 0.0000 0.0000  2 Pt 2.30, 4 Zr 2.52
Zr 0.0000 0.5000 0.0000  2 Mg 2.52
Zr 0.5000 0.0000 0.0000  2 Mg 2.52
In 0.5000 0.5000 0.5000  8 Zr 3.41, 4 Pt 3.56
Pt 0.0000 0.0000 0.5000  2 Mg 2.30

10.
First-principles (PBE-GGA) data for La2PmCoAu after structural relaxation, as listed in the Alexandria database.

Values from the calculation:
For the total energy, the calculation gives -5.20 eV per atom. As for the crystal system: tetragonal. As for the energy of formation: -19.8 kJ per mole of atoms. As for the space group: No. 99.

a = 5.2068 Å, b = 5.2068 Å, c = 5.4890 Å
α = 90.00°, β = 90.00°, γ = 90.00°
Closest atoms and distances in Å follow each position.
Fractional coordinates of all 5 atoms:
La 0.0000 0.5000 0.0000  2 Co 2.61
La 0.5000 0.0000 0.0000  2 Co 2.61
Pm 0.0000 0.0000 0.5243  2 Co 2.69-2.79
Co 0.0000 0.0000 0.0334  4 La 2.61, 2 Pm 2.69-2.79
Au 0.5000 0.5000 0.6282  4 La 3.31

11.
First-principles (PBE-GGA) data for Ac2CdIr after structural relaxation, as listed in the Alexandria database.

Values from the calculation:
For the total energy, the calculation gives -4.99 eV per atom. As for the crystal system: trigonal. As for the energy of formation: -47.1 kJ per mole of atoms. As for the space group: No. 166.

a = 8.8545 Å, b = 8.8545 Å, c = 8.8545 Å
α = 28.40°, β = 28.40°, γ = 28.40°
Closest atoms and distances in Å follow each position.
Fractional coordinates of all 4 atoms:
Ac 0.2304 0.2304 0.2304  3 Ir 2.99
Ac 0.7696 0.7696 0.7696  3 Ir 2.99
Cd 0.0000 0.0000 0.0000  6 Ac 3.63
Ir 0.5000 0.5000 0.5000  6 Ac 2.99

12.
First-principles (PBE-GGA) data for K2AgPbW after structural relaxation, as listed in the Alexandria database.

Values from the calculation:
For the total energy, the calculation gives -2.94 eV per atom. As for the crystal system: tetragonal. As for the energy of formation: 134.8 kJ per mole of atoms. As for the space group: No. 123.

a = 6.0643 Å, b = 6.0643 Å, c = 5.4263 Å
α = 90.00°, β = 90.00°, γ = 90.00°
Closest atoms and distances in Å follow each position.
Fractional coordinates of all 5 atoms:
K 0.0000 0.5000 0.0000  2 Ag 3.03
K 0.5000 0.0000 0.0000  2 Ag 3.03
Ag 0.0000 0.0000 0.0000  2 Pb 2.71, 4 K 3.03
Pb 0.0000 0.0000 0.5000  2 Ag 2.71
W 0.5000 0.5000 0.5000  8 K 4.07, 4 Pb 4.29